[1]
Here is YMg2SiF after structural relaxation from the Alexandria database. Energies are from PBE.

As for the final energy: -21.57 eV per cell. The calculation puts the uncorrected formation energy at -0.924 eV/atom.

Lattice parameters (Å, degrees): 4.320 4.320 5.084 90.00 90.00 90.00
Space group P4/mmm (No. 123)
Asymmetric unit:
Y 0.000 0.000 0.000 [1 per cell]
Mg 0.000 0.500 0.500 [2 per cell]
Si 0.500 0.500 0.000 [1 per cell]
F 0.000 0.000 0.500 [1 per cell]

[2]
Here is Sm2MgF after structural relaxation from the Alexandria database. Energies are from PBE.

As for the final energy: -49.10 eV per cell. The calculation puts the uncorrected formation energy at -0.865 eV/atom.

Lattice parameters (Å, degrees): 3.3403 3.3403 31.0712 90.00 90.00 120.00
Space group R-3m (No. 166, hexagonal axes)
Asymmetric unit:
Sm 0.0000 0.0000 0.1060 [6 per cell]
Mg 0.0000 0.0000 0.0000 [3 per cell]
F 0.0000 0.0000 0.5000 [3 per cell]

[3]
Here is SmMg3Tl2F12 after structural relaxation from the Alexandria database. Energies are from PBE.

As for the final energy: -277.64 eV per cell. The calculation puts the uncorrected formation energy at -3.103 eV/atom.

Lattice parameters (Å, degrees): 7.4643 7.4643 15.4928 90.00 90.00 120.00
Space group R-3m (No. 166, hexagonal axes)
Asymmetric unit:
Sm 0.0000 0.0000 0.0000 [3 per cell]
Mg 0.0000 0.5000 0.5000 [9 per cell]
Tl 0.0000 0.0000 0.3933 [6 per cell]
F 0.0466 0.5233 0.3728 [18 per cell]
F 0.0963 0.5482 0.8009 [18 per cell]